The following is a PBE calculation of CeSm3Er6Tm2 after structural relaxation, from Alexandria via LeMat-Bulk.

Unit cell a=6.1275 b=6.1275 c=11.6958 alpha=95.01 beta=95.01 gamma=119.98
Each line ends with the local moment (μB).
Atoms (fractional coordinates):
1 Ce 0.0000 0.0000 0.0000  -0.73
2 Sm 0.1677 0.8323 0.5000  0.01
3 Sm 0.8323 0.1677 0.5000  0.01
4 Sm 0.5000 0.5000 0.5000  0.01
5 Er 0.9174 0.5860 0.7530  -0.02
6 Er 0.7511 0.7511 0.2472  -0.02
7 Er 0.0826 0.4140 0.2470  -0.02
8 Er 0.5860 0.9174 0.7530  -0.02
9 Er 0.2489 0.2489 0.7528  -0.02
10 Er 0.4140 0.0826 0.2470  -0.02
11 Tm 0.3333 0.6667 0.0000  -0.04
12 Tm 0.6667 0.3333 0.0000  -0.04

## Properties
Calculated total energy (eV/atom): -4.67
Density of states at the Fermi level (states/eV/f.u.): 18.1
Formation energy (meV/atom): 35

=====

The following is a PBE calculation of CeSmEr4Tm2 after structural relaxation, from Alexandria via LeMat-Bulk.

Unit cell a=5.8099 b=5.8080 c=9.4046 alpha=51.88 beta=90.00 gamma=90.00
Each line ends with the local moment (μB).
Atoms (fractional coordinates):
1 Ce 0.0000 0.5000 0.5000  -0.82
2 Sm 0.5000 0.5000 0.0000  -0.04
3 Er 0.0000 0.2481 0.2518  -0.12
4 Er 0.0000 0.7519 0.7482  -0.12
5 Er 0.5000 0.2522 0.7478  -0.12
6 Er 0.5000 0.7478 0.2522  -0.12
7 Tm 0.0000 0.0000 0.0000  -0.10
8 Tm 0.5000 0.0000 0.5000  -0.07

## Properties
Calculated total energy (eV/atom): -4.59
Density of states at the Fermi level (states/eV/f.u.): 19.5
Formation energy (meV/atom): 144

=====

The following is a PBE calculation of CeSmEr2Tm4 after structural relaxation, from Alexandria via LeMat-Bulk.

Unit cell a=4.9968 b=4.9815 c=11.0617 alpha=63.24 beta=90.00 gamma=90.00
Each line ends with the local moment (μB).
Atoms (fractional coordinates):
1 Ce 0.0000 0.5000 0.5000  0.70
2 Sm 0.5000 0.5000 0.0000  -0.04
3 Er 0.0000 0.0000 0.0000  -0.06
4 Er 0.5000 0.0000 0.5000  0.07
5 Tm 0.0000 0.7519 0.7479  0.04
6 Tm 0.0000 0.2481 0.2521  0.04
7 Tm 0.5000 0.7475 0.2524  0.04
8 Tm 0.5000 0.2525 0.7476  0.04

## Properties
Calculated total energy (eV/atom): -4.66
Density of states at the Fermi level (states/eV/f.u.): 12.9
Formation energy (meV/atom): 48

=====

The following is a PBE calculation of CeSm2Y6Er3 after structural relaxation, from Alexandria via LeMat-Bulk.

Unit cell a=6.1813 b=6.1813 c=11.8027 alpha=95.01 beta=95.01 gamma=119.98
Each line ends with the local moment (μB).
Atoms (fractional coordinates):
1 Ce 0.0000 0.0000 0.0000  0.78
2 Sm 0.3335 0.6665 0.0000  0.01
3 Sm 0.6665 0.3335 0.0000  0.01
4 Y 0.9159 0.5849 0.7480  0.01
5 Y 0.7530 0.7530 0.2524  0.01
6 Y 0.0841 0.4151 0.2520  0.01
7 Y 0.5849 0.9159 0.7480  0.01
8 Y 0.2470 0.2470 0.7476  0.01
9 Y 0.4151 0.0841 0.2520  0.01
10 Er 0.1672 0.8328 0.5000  -0.02
11 Er 0.8328 0.1672 0.5000  -0.02
12 Er 0.5000 0.5000 0.5000  -0.03

## Properties
Calculated total energy (eV/atom): -5.61
Density of states at the Fermi level (states/eV/f.u.): 21.0
Formation energy (meV/atom): 42

=====

The following is a PBE calculation of CeSm6Y2Er3 after structural relaxation, from Alexandria via LeMat-Bulk.

Unit cell a=6.2150 b=6.2150 c=11.8412 alpha=95.02 beta=95.02 gamma=120.00
Each line ends with the local moment (μB).
Atoms (fractional coordinates):
1 Ce 0.0000 0.0000 0.0000  0.84
2 Sm 0.9164 0.5854 0.7483  0.01
3 Sm 0.7526 0.7526 0.2518  0.01
4 Sm 0.0836 0.4146 0.2517  0.01
5 Sm 0.5854 0.9164 0.7483  0.01
6 Sm 0.2474 0.2474 0.7482  0.01
7 Sm 0.4146 0.0836 0.2517  0.01
8 Y 0.3335 0.6665 0.0000  0.05
9 Y 0.6665 0.3335 0.0000  0.05
10 Er 0.1672 0.8328 0.5000  -0.01
11 Er 0.8328 0.1672 0.5000  -0.01
12 Er 0.5000 0.5000 0.5000  -0.01

## Properties
Calculated total energy (eV/atom): -5.03
Density of states at the Fermi level (states/eV/f.u.): 19.4
Formation energy (meV/atom): 39

=====

The following is a PBE calculation of Ce2Sm3Y6Er after structural relaxation, from Alexandria via LeMat-Bulk.

Unit cell a=6.1928 b=6.1928 c=11.8075 alpha=95.01 beta=95.01 gamma=119.99
Each line ends with the local moment (μB).
Atoms (fractional coordinates):
1 Ce 0.3335 0.6665 0.0000  0.74
2 Ce 0.6665 0.3335 0.0000  0.74
3 Sm 0.1660 0.8340 0.5000  -0.01
4 Sm 0.8340 0.1660 0.5000  -0.01
5 Sm 0.5000 0.5000 0.5000  -0.02
6 Y 0.9175 0.5825 0.7533  0.01
7 Y 0.7475 0.7475 0.2469  0.01
8 Y 0.0825 0.4175 0.2467  0.01
9 Y 0.5825 0.9175 0.7533  0.01
10 Y 0.2525 0.2525 0.7531  0.01
11 Y 0.4175 0.0825 0.2467  0.01
12 Er 0.0000 0.0000 0.0000  0.07

## Properties
Calculated total energy (eV/atom): -5.73
Density of states at the Fermi level (states/eV/f.u.): 21.3
Formation energy (meV/atom): 47

=====

The following is a PBE calculation of Ce2SmY3Er6 after structural relaxation, from Alexandria via LeMat-Bulk.

Unit cell a=6.1233 b=6.1233 c=11.7003 alpha=95.01 beta=95.01 gamma=119.97
Each line ends with the local moment (μB).
Atoms (fractional coordinates):
1 Ce 0.3335 0.6665 0.0000  -0.72
2 Ce 0.6665 0.3335 0.0000  -0.72
3 Sm 0.0000 0.0000 0.0000  -0.01
4 Y 0.1662 0.8338 0.5000  0.02
5 Y 0.8338 0.1662 0.5000  0.02
6 Y 0.5000 0.5000 0.5000  0.02
7 Er 0.9164 0.5805 0.7512  -0.01
8 Er 0.7476 0.7476 0.2488  -0.01
9 Er 0.0836 0.4195 0.2488  -0.01
10 Er 0.5805 0.9164 0.7512  -0.01
11 Er 0.2524 0.2524 0.7512  -0.01
12 Er 0.4195 0.0836 0.2488  -0.01

## Properties
Calculated total energy (eV/atom): -5.23
Density of states at the Fermi level (states/eV/f.u.): 22.5
Formation energy (meV/atom): 51

=====

The following is a PBE calculation of CeSm2YEr5 after structural relaxation, from Alexandria via LeMat-Bulk.

Unit cell a=8.5821 b=8.5821 c=9.8006 alpha=115.97 beta=115.97 gamma=90.00
Each line ends with the local moment (μB).
Atoms (fractional coordinates):
1 Ce 0.2500 0.7500 0.5000  -0.70
2 Ce 0.7500 0.2500 0.5000  -0.70
3 Sm 0.1198 0.3802 0.0000  0.01
4 Sm 0.6198 0.1198 0.0000  0.01
5 Sm 0.3802 0.8802 0.0000  0.01
6 Sm 0.8802 0.6198 0.0000  0.01
7 Y 0.2500 0.2500 0.5000  -0.01
8 Y 0.7500 0.7500 0.5000  -0.01
9 Er 0.9362 0.4362 0.2787  -0.05
10 Er 0.6575 0.1575 0.7213  -0.05
11 Er 0.0638 0.5638 0.7213  -0.05
12 Er 0.1575 0.0638 0.7213  -0.05
13 Er 0.5638 0.6575 0.7213  -0.05
14 Er 0.8425 0.9362 0.2787  -0.05
15 Er 0.4362 0.3425 0.2787  -0.05
16 Er 0.3425 0.8425 0.2787  -0.05
17 Er 0.5000 0.5000 0.0000  0.02
18 Er 0.0000 0.0000 0.0000  0.02

## Properties
Calculated total energy (eV/atom): -4.69
Density of states at the Fermi level (states/eV/f.u.): 14.8
Formation energy (meV/atom): 274